1.
! AcBSe2 GGA-PBE optimized geometry; values from VASP
! density: 6.9 g/cm³
! final energy: -16.54 eV/cell
! total moment: 0.00 μB/cell
! raw formation energy: 0.304 eV per atom
! volume: 95 Å³ per cell
! symmetry: R-3m, No. 166
&SYSTEM
  ibrav = 0, nat = 4, ntyp = 3
/
ATOMIC_SPECIES
Ac 227.00 Ac.upf
B 10.81 B.upf
Se 78.96 Se.upf
CELL_PARAMETERS angstrom
-0.117 -3.521 -0.545
2.902 -1.989 0.572
-1.497 -3.022 8.186
ATOMIC_POSITIONS crystal
Ac 0.000 0.000 0.000
B 0.500 0.500 0.500
Se 0.119 0.119 0.644
Se 0.881 0.881 0.356


2.
! Ac3Si2B GGA-PBE optimized geometry; values from VASP
! density: 7.6 g/cm³
! final energy: -125.92 eV/cell
! total moment: 0.00 μB/cell
! raw formation energy: -0.272 eV per atom
! volume: 655 Å³ per cell
! symmetry: Pnma, No. 62
&SYSTEM
  ibrav = 0, nat = 24, ntyp = 3
/
ATOMIC_SPECIES
Ac 227.00 Ac.upf
Si 28.09 Si.upf
B 10.81 B.upf
CELL_PARAMETERS angstrom
3.853 0.000 0.000
0.000 12.881 0.000
0.000 0.000 13.200
ATOMIC_POSITIONS crystal
Ac 0.250 0.376 0.035
Ac 0.750 0.624 0.965
Ac 0.750 0.876 0.465
Ac 0.250 0.124 0.535
Ac 0.250 0.700 0.248
Ac 0.750 0.300 0.752
Ac 0.750 0.200 0.252
Ac 0.250 0.800 0.748
Ac 0.250 0.462 0.380
Ac 0.750 0.538 0.620
Ac 0.750 0.962 0.120
Ac 0.250 0.038 0.880
Si 0.250 0.685 0.492
Si 0.750 0.315 0.508
Si 0.750 0.185 0.008
Si 0.250 0.815 0.992
Si 0.250 0.997 0.316
Si 0.750 0.003 0.684
Si 0.750 0.497 0.184
Si 0.250 0.503 0.816
B 0.250 0.154 0.077
B 0.750 0.846 0.923
B 0.750 0.654 0.423
B 0.250 0.346 0.577